A relaxed YEr2In3Cu2Ni crystal. Source: the Open Quantum Materials Database, functional PBE.

Summary:
E ... -4.539 eV per atom

Lattice parameters (Å, degrees): 3.8719 12.8695 7.4232 90.00 90.00 90.00
Last column: nearest neighbours and their distance in Å.
Space group Amm2 (No. 38)
One atom of each set of equivalent atoms:
Y  0.0000  0.0000  0.0000 (multiplicity 2)  4 Cu 2.99, 1 Ni 3.03, 6 In 3.18-3.27
Er  0.0000  0.2027  0.3914 (multiplicity 4)  4 Cu 2.96-2.97, 1 Ni 3.00, 6 In 3.19-3.27
In  0.5000  0.0000  0.3403 (multiplicity 2)  2 Ni 2.69, 2 Cu 2.83
In  0.5000  0.1270  0.7207 (multiplicity 4)  2 Ni 2.71, 2 Cu 2.80-2.83
Cu  0.5000  0.1682  0.0946 (multiplicity 4)  3 In 2.80-2.83, 4 Er 2.96-2.97, 2 Y 2.99
Ni  0.0000  0.0000  0.5916 (multiplicity 2)  6 In 2.69-2.71, 2 Er 3.00

---

A relaxed Y4Bi3W2N3 crystal. Source: the Open Quantum Materials Database, functional PBE.

Summary:
E ... -7.949 eV per atom

Lattice parameters (Å, degrees): 10.5736 6.2065 14.5599 90.00 103.18 90.00
Last column: nearest neighbours and their distance in Å.
Space group C2/c (No. 15)
One atom of each set of equivalent atoms:
Y  0.1129  0.0878  0.0875 (multiplicity 8)  3 N 2.36-2.44
Y  0.2234  0.0786  0.4128 (multiplicity 8)  3 N 2.38-2.41
Bi  0.0000  0.1190  0.7500 (multiplicity 4)  4 Y 3.16-3.19, 2 Bi 3.26, 2 W 3.26
Bi  0.1535  0.4254  0.2526 (multiplicity 8)  4 Y 3.14-3.15, 2 W 3.22-3.24, 2 Bi 3.23-3.26
W  0.0544  0.4269  0.9361 (multiplicity 8)  3 N 2.19-2.34
N  0.0827  0.2506  0.5000 (multiplicity 8)  2 W 2.19-2.20, 4 Y 2.39-2.44
N  0.2500  0.2500  0.0000 (multiplicity 4)  2 W 2.34, 4 Y 2.36-2.38

---

A relaxed NaTlHg crystal. Source: the Open Quantum Materials Database, functional PBE.

Summary:
E ... -1.362 eV per atom
Energy above the lowest structure with this stoichiometry ... 0.000 eV/atom

Lattice parameters (Å, degrees): 7.2224 7.2224 7.2224 90.00 90.00 90.00
Last column: nearest neighbours and their distance in Å.
Space group F-43m (No. 216)
One atom of each set of equivalent atoms:
Na  0.0000  0.0000  0.0000 (multiplicity 4)  4 Tl 3.13
Tl  0.2500  0.2500  0.7500 (multiplicity 4)  4 Hg 3.13, 4 Na 3.13
Hg  0.0000  0.0000  0.5000 (multiplicity 4)  4 Tl 3.13

---

A relaxed Sm2YNi2C2N3 crystal. Source: the Open Quantum Materials Database, functional PBE.

Summary:
E ... -7.854 eV per atom

Lattice parameters (Å, degrees): 3.5198 3.5198 19.6769 90.00 90.00 90.00
Last column: nearest neighbours and their distance in Å.
Space group I4/mmm (No. 139)
One atom of each set of equivalent atoms:
Sm  0.0000  0.0000  0.1268 (multiplicity 4)  5 N 2.49-2.50, 4 C 2.79
Y  0.0000  0.0000  0.5000 (multiplicity 2)  6 N 2.36-2.49
Ni  0.0000  0.5000  0.2500 (multiplicity 4)  4 C 2.11
C  0.0000  0.0000  0.3094 (multiplicity 4)  1 N 1.39
N  0.0000  0.0000  0.0000 (multiplicity 2)  4 Y 2.49, 2 Sm 2.50
N  0.0000  0.0000  0.3803 (multiplicity 4)  1 C 1.39

---

A relaxed Y2GePt2 crystal. Source: the Open Quantum Materials Database, functional PBE.

Summary:
E ... -6.682 eV per atom

Lattice parameters (Å, degrees): 5.2478 5.2478 8.0795 90.00 90.00 90.00
Last column: nearest neighbours and their distance in Å.
Space group I4/mmm (No. 139)
One atom of each set of equivalent atoms:
Y  0.0000  0.5000  0.2500 (multiplicity 4)  4 Pt 2.74
Ge  0.0000  0.0000  0.0000 (multiplicity 2)  2 Pt 2.80
Pt  0.0000  0.0000  0.3468 (multiplicity 4)  1 Pt 2.48, 4 Y 2.74

---

A relaxed NaNdAsO crystal. Source: the Open Quantum Materials Database, functional PBE.

Summary:
E ... -5.564 eV per atom
Energy above the lowest structure with this stoichiometry ... 0.000 eV/atom

Lattice parameters (Å, degrees): 4.0187 4.0187 10.5193 90.00 90.00 90.00
Last column: nearest neighbours and their distance in Å.
Space group P4/nmm (No. 129, origin choice 2)
One atom of each set of equivalent atoms:
Na  0.2500  0.7500  0.0000 (multiplicity 2)  4 Na 2.84, 4 As 2.94
Nd  0.2500  0.2500  0.3871 (multiplicity 2)  4 O 2.33
As  0.2500  0.2500  0.7954 (multiplicity 2)  4 Na 2.94
O  0.2500  0.7500  0.5000 (multiplicity 2)  4 Nd 2.33

---

A relaxed ZrInNO crystal. Source: the Open Quantum Materials Database, functional PBE.

Summary:
E ... -7.473 eV per atom
Energy above the lowest structure with this stoichiometry ... 0.041 eV/atom

Lattice parameters (Å, degrees): 3.3785 7.2559 6.1444 90.00 90.00 90.00
Last column: nearest neighbours and their distance in Å.
Space group Pmc2_1 (No. 26)
One atom of each set of equivalent atoms:
Zr  0.0000  0.1701  0.0000 (multiplicity 2)  2 O 1.98-1.99, 2 N 2.08
In  0.5000  0.3584  0.5479 (multiplicity 2)  2 N 2.29-2.56
N  0.5000  0.3336  0.9631 (multiplicity 2)  2 Zr 2.08, 1 In 2.29
O  0.0000  0.0212  0.2713 (multiplicity 2)  2 Zr 1.98-1.99

---

A relaxed CoTcOs2 crystal. Source: the Open Quantum Materials Database, functional PBE.

Summary:
Formation enthalpy at 0 K ... 1.94 eV/f.u.
E ... -9.494 eV per atom

Lattice parameters (Å, degrees): 6.0386 6.0386 6.0386 90.00 90.00 90.00
Last column: nearest neighbours and their distance in Å.
Space group F-43m (No. 216)
One atom of each set of equivalent atoms:
Co  0.0000  0.0000  0.0000 (multiplicity 4)  4 Tc 2.61, 4 Os 2.61
Tc  0.2500  0.2500  0.7500 (multiplicity 4)  4 Co 2.61, 4 Os 2.61
Os  0.0000  0.0000  0.5000 (multiplicity 4)  4 Tc 2.61, 4 Os 2.61
Os  0.2500  0.2500  0.2500 (multiplicity 4)  4 Co 2.61, 4 Os 2.61

---

- Number 1 is which compound?
  YEr2In3Cu2Ni

---

- The lowest E belongs to which entry?
  CoTcOs2